# 1
The following is a DFT calculation (SCAN) of a crystal of Ca2ZnCd relaxed with PBEsol.

Output
calculated formation energy: -0.266 eV/atom
total energy: -16.08 eV per atom

Unit cell a=11.6459 b=3.5474 c=5.3078 alpha=90.00 beta=112.20 gamma=90.00
Closest atoms and distances in Å follow each position.
Space group Cm (No. 8)
Asymmetric unit:
Ca  0.0000  0.0000  0.0000  3 Zn 3.16-3.53, 4 Cd 3.25-3.28, 2 Ca 3.42-3.43
Ca  0.2004  0.0000  0.6673  4 Zn 3.20-3.25, 3 Cd 3.37, 4 Ca 3.42-3.55
Zn  0.2426  0.5000  0.1965  2 Cd 2.77
Cd  0.4347  0.0000  0.4424  2 Zn 2.77

---

# 2
The following is a DFT calculation (SCAN) of a crystal of Ca2ZnCd relaxed with PBEsol.

Output
calculated formation energy: -0.346 eV/atom
total energy: -16.16 eV per atom

Unit cell a=7.3812 b=7.3812 c=7.3812 alpha=90.00 beta=90.00 gamma=90.00
Closest atoms and distances in Å follow each position.
Space group Fm-3m (No. 225)
Asymmetric unit:
Ca  0.2500  0.2500  0.2500  4 Zn 3.20, 4 Cd 3.20
Zn  0.0000  0.0000  0.0000  8 Ca 3.20
Cd  0.0000  0.0000  0.5000  8 Ca 3.20

---

# 3
The following is a DFT calculation (SCAN) of a crystal of Ca2ZnCd relaxed with PBEsol.

Output
calculated formation energy: -0.345 eV/atom
total energy: -16.16 eV per atom

Unit cell a=5.2177 b=5.2177 c=3.6992 alpha=90.00 beta=90.00 gamma=90.00
Closest atoms and distances in Å follow each position.
Space group P4/mmm (No. 123)
Asymmetric unit:
Ca  0.0000  0.5000  0.0000  4 Cd 3.20, 4 Zn 3.20
Zn  0.0000  0.0000  0.5000  8 Ca 3.20
Cd  0.5000  0.5000  0.5000  8 Ca 3.20

---

# 4
The following is a DFT calculation (SCAN) of a crystal of CaZn3Cd relaxed with PBEsol.

Output
calculated formation energy: 0.880 eV/atom
total energy: -15.24 eV per atom

Unit cell a=5.4943 b=5.4943 c=5.4943 alpha=90.00 beta=90.00 gamma=90.00
Closest atoms and distances in Å follow each position.
Space group Pm-3m (No. 221)
Asymmetric unit:
Ca  0.0000  0.0000  0.0000  6 Zn 2.75
Zn  0.0000  0.0000  0.5000  2 Ca 2.75
Cd  0.5000  0.5000  0.5000  12 Zn 3.89

---

# 5
The following is a DFT calculation (SCAN) of a crystal of CaCeHg2 relaxed with PBEsol.

Output
calculated formation energy: -0.635 eV/atom
total energy: -48.27 eV per atom

Unit cell a=7.4523 b=7.4523 c=7.4523 alpha=90.00 beta=90.00 gamma=90.00
Closest atoms and distances in Å follow each position.
Space group Fm-3m (No. 225)
Asymmetric unit:
Ca  0.0000  0.0000  0.0000  8 Hg 3.23
Ce  0.0000  0.0000  0.5000  8 Hg 3.23
Hg  0.2500  0.2500  0.2500  4 Ce 3.23, 4 Ca 3.23

---

# 6
The following is a DFT calculation (SCAN) of a crystal of CaCeV2O8 relaxed with PBEsol.

Output
formation energy (no corrections): -3604 kJ/mol of formula units
total energy: -14.70 eV per atom

Unit cell a=7.1847 b=7.1847 c=6.3106 alpha=90.00 beta=90.00 gamma=90.00
Closest atoms and distances in Å follow each position.
Space group I-4m2 (No. 119)
Asymmetric unit:
Ca  0.0000  0.0000  0.0000  8 O 2.35-2.50
Ce  0.0000  0.5000  0.7500  8 O 2.30-2.40
V  0.0000  0.0000  0.5000  4 O 1.71
V  0.0000  0.5000  0.2500  4 O 1.71
O  0.0000  0.1877  0.6668  1 V 1.71
O  0.0000  0.3207  0.0716  1 V 1.71

---

# 7
The following is a DFT calculation (SCAN) of a crystal of CaCe3V4O16 relaxed with PBEsol.

Output
formation energy (no corrections): -7413 kJ/mol of formula units
total energy: -16.24 eV per atom

Unit cell a=7.2297 b=7.2297 c=6.3782 alpha=90.00 beta=90.00 gamma=90.00
Closest atoms and distances in Å follow each position.
Space group P-4m2 (No. 115)
Asymmetric unit:
Ca  0.0000  0.0000  0.0000  8 O 2.37-2.52
Ce  0.0000  0.5000  0.2509  8 O 2.33-2.47
Ce  0.5000  0.5000  0.5000  8 O 2.34-2.46
V  0.0000  0.0000  0.5000  4 O 1.72
V  0.0000  0.5000  0.7524  4 O 1.69-1.74
V  0.5000  0.5000  0.0000  4 O 1.72
O  0.0000  0.1866  0.3339  1 V 1.72
O  0.0000  0.3210  0.9238  1 V 1.69
O  0.1839  0.5000  0.5772  1 V 1.74
O  0.3183  0.5000  0.1737  1 V 1.72

---

# 8
The following is a DFT calculation (SCAN) of a crystal of CaCePd2 relaxed with PBEsol.

Output
calculated formation energy: -0.672 eV/atom
total energy: -30.62 eV per atom

Unit cell a=6.9780 b=6.9780 c=6.9780 alpha=90.00 beta=90.00 gamma=90.00
Closest atoms and distances in Å follow each position.
Space group Fm-3m (No. 225)
Asymmetric unit:
Ca  0.0000  0.0000  0.0000  8 Pd 3.02
Ce  0.0000  0.0000  0.5000  8 Pd 3.02
Pd  0.2500  0.2500  0.2500  4 Ce 3.02, 4 Ca 3.02

---

# 9
The following is a DFT calculation (SCAN) of a crystal of CaCeRh2 relaxed with PBEsol.

Output
calculated formation energy: -0.591 eV/atom
total energy: -31.03 eV per atom

Unit cell a=6.7641 b=6.7641 c=6.7641 alpha=90.00 beta=90.00 gamma=90.00
Closest atoms and distances in Å follow each position.
Space group Fm-3m (No. 225)
Asymmetric unit:
Ca  0.0000  0.0000  0.0000  8 Rh 2.93
Ce  0.0000  0.0000  0.5000  8 Rh 2.93
Rh  0.2500  0.2500  0.2500  4 Ce 2.93, 4 Ca 2.93

---

# 10
The following is a DFT calculation (SCAN) of a crystal of CaCeZn2 relaxed with PBEsol.

Output
calculated formation energy: -0.273 eV/atom
total energy: -20.59 eV per atom

Unit cell a=7.1554 b=7.1554 c=7.1554 alpha=90.00 beta=90.00 gamma=90.00
Closest atoms and distances in Å follow each position.
Space group Fm-3m (No. 225)
Asymmetric unit:
Ca  0.0000  0.0000  0.0000  8 Zn 3.10
Ce  0.0000  0.0000  0.5000  8 Zn 3.10
Zn  0.2500  0.2500  0.2500  4 Ce 3.10, 4 Ca 3.10

---

# 11
The following is a DFT calculation (SCAN) of a crystal of CaCl relaxed with PBEsol.

Output
formation energy (no corrections): -316 kJ/mol of formula units
total energy: -10.46 eV per atom

Unit cell a=3.5962 b=7.1700 c=4.3332 alpha=90.00 beta=90.00 gamma=90.00
Closest atoms and distances in Å follow each position.
Space group Cmmm (No. 65)
Asymmetric unit:
Ca  0.0000  0.0000  0.0000  4 Cl 2.82
Cl  0.0000  0.5000  0.5000  4 Ca 2.82

---

# 12
The following is a DFT calculation (SCAN) of a crystal of CaCl relaxed with PBEsol.

Output
formation energy (no corrections): -356 kJ/mol of formula units
total energy: -10.67 eV per atom

Unit cell a=3.6962 b=3.6962 c=7.5940 alpha=90.00 beta=90.00 gamma=90.00
Closest atoms and distances in Å follow each position.
Space group P4/nmm (No. 129, origin choice 2)
Asymmetric unit:
Ca  0.2500  0.2500  0.2065  4 Cl 2.86
Cl  0.2500  0.2500  0.6401  4 Ca 2.86